[1]
{
  "formula": "Cs2ScAs",
  "functional": "GGA-PBE",
  "state": "relaxed",
  "delta_e_f_kcal_per_mol_atoms": 14.40,
  "dft_energy_ev_per_cell": -10.19,
  "polymorph_energy_mev_per_atom": 754,
  "sg": "Fm-3m",
  "cell": [[0.0000, 4.3138, 4.3138], [4.3138, 0.0000, 4.3138], [4.3138, 4.3138, 0.0000]],
  "species": ["Cs", "Cs", "Sc", "As"],
  "frac_coords": [[0.2500, 0.2500, 0.2500], [0.7500, 0.7500, 0.7500], [0.0000, 0.0000, 0.0000], [0.5000, 0.5000, 0.5000]]
}

=====

[2]
{
  "formula": "UTe2I5",
  "functional": "GGA-PBE",
  "state": "relaxed",
  "dft_energy_ev_per_cell": -28.22,
  "sg": "Cm",
  "raw_formation_energy_ev_per_atom": -0.36,
  "cell": [[-0.2577, -3.9644, 4.4121], [8.1936, -4.6622, 0.2958], [4.0154, 3.7959, 7.6399]],
  "species": ["U", "Te", "Te", "I", "I", "I", "I", "I"],
  "frac_coords": [[0.9629, 0.0000, 0.0000], [0.6942, 0.4999, 0.5000], [0.2511, 0.4999, 0.5000], [0.8100, 0.9812, 0.3249], [0.1167, 0.6752, 0.0177], [0.8093, 0.3249, 0.9822], [0.1160, 0.0189, 0.6751], [0.4628, 0.0001, 0.0000]]
}

=====

[3]
{
  "formula": "Pm3Th5H12",
  "functional": "GGA-PBE",
  "state": "relaxed",
  "dft_energy_ev_per_cell": -396.52,
  "sg": "Ia-3d",
  "cell": [[-3.3116, -9.7521, -5.6143], [10.1164, 3.8632, -4.5084], [1.4449, -2.3511, 11.4007]],
  "species": ["Pm", "Pm", "Pm", "Pm", "Pm", "Pm", "Pm", "Pm", "Pm", "Pm", "Pm", "Pm", "Th", "Th", "Th", "Th", "Th", "Th", "Th", "Th", "Th", "Th", "Th", "Th", "Th", "Th", "Th", "Th", "Th", "Th", "Th", "Th", "H", "H", "H", "H", "H", "H", "H", "H", "H", "H", "H", "H", "H", "H", "H", "H", "H", "H", "H", "H", "H", "H", "H", "H", "H", "H", "H", "H", "H", "H", "H", "H", "H", "H", "H", "H", "H", "H", "H", "H", "H", "H", "H", "H", "H", "H", "H", "H"],
  "frac_coords": [[0.7500, 0.3750, 0.1250], [0.8750, 0.7500, 0.1250], [0.3750, 0.7500, 0.6250], [0.2500, 0.1250, 0.3750], [0.8750, 0.1250, 0.2500], [0.3750, 0.6250, 0.2500], [0.6250, 0.3750, 0.7500], [0.1250, 0.8750, 0.7500], [0.7500, 0.8750, 0.6250], [0.6250, 0.2500, 0.3750], [0.1250, 0.2500, 0.8750], [0.2500, 0.6250, 0.8750], [0.1250, 0.3750, 0.2500], [0.0000, 0.5000, 0.0000], [0.0000, 0.0000, 0.0000], [0.3750, 0.2500, 0.1250], [0.5000, 0.0000, 0.5000], [0.5000, 0.5000, 0.0000], [0.1250, 0.7500, 0.3750], [0.7500, 0.1250, 0.8750], [0.7500, 0.6250, 0.3750], [0.3750, 0.1250, 0.7500], [0.6250, 0.8750, 0.2500], [0.5000, 0.5000, 0.5000], [0.5000, 0.0000, 0.0000], [0.0000, 0.0000, 0.5000], [0.2500, 0.3750, 0.6250], [0.2500, 0.8750, 0.1250], [0.0000, 0.5000, 0.5000], [0.8750, 0.2500, 0.6250], [0.6250, 0.7500, 0.8750], [0.8750, 0.6250, 0.7500], [0.7274, 0.1546, 0.0722], [0.3447, 0.5722, 0.4176], [0.9278, 0.3454, 0.2726], [0.5722, 0.2274, 0.1546], [0.5728, 0.7274, 0.6553], [0.9278, 0.5824, 0.1553], [0.3447, 0.7726, 0.4272], [0.0824, 0.9272, 0.1546], [0.5824, 0.9278, 0.6553], [0.7274, 0.5728, 0.1553], [0.7726, 0.4278, 0.3454], [0.8447, 0.9176, 0.0722], [0.1546, 0.7274, 0.5722], [0.3454, 0.4176, 0.0728], [0.0728, 0.9176, 0.3454], [0.4272, 0.1546, 0.5824], [0.0728, 0.1553, 0.2274], [0.4278, 0.6553, 0.0824], [0.8447, 0.9272, 0.2726], [0.1546, 0.4272, 0.0824], [0.3454, 0.9278, 0.7726], [0.5824, 0.6546, 0.4272], [0.9176, 0.8447, 0.5722], [0.7726, 0.3447, 0.9272], [0.4176, 0.3454, 0.5728], [0.0824, 0.1553, 0.4278], [0.2274, 0.6553, 0.0728], [0.1553, 0.0728, 0.7274], [0.6546, 0.0722, 0.2274], [0.8454, 0.5728, 0.9176], [0.5722, 0.3447, 0.9176], [0.5728, 0.8454, 0.4176], [0.9272, 0.8447, 0.7726], [0.9272, 0.0824, 0.6546], [0.8454, 0.2726, 0.4278], [0.1553, 0.0824, 0.9278], [0.6546, 0.5824, 0.9272], [0.4176, 0.0722, 0.3447], [0.2726, 0.4272, 0.8447], [0.2274, 0.5722, 0.6546], [0.9176, 0.0728, 0.8454], [0.6553, 0.2274, 0.5728], [0.4278, 0.7726, 0.8454], [0.0722, 0.4176, 0.8447], [0.4272, 0.2726, 0.3447], [0.0722, 0.6546, 0.7274], [0.6553, 0.4278, 0.5824], [0.2726, 0.8454, 0.9278]]
}

=====

[4]
{
  "formula": "Ga7Pt3",
  "functional": "GGA-PBE",
  "state": "relaxed",
  "delta_e_f_kcal_per_mol_atoms": -12.40,
  "dft_energy_ev_per_cell": -89.38,
  "sg": "Im-3m",
  "cell": [[-6.7941, -3.4827, -1.0130], [4.9146, -2.3237, -5.4555], [2.8115, -1.8245, 6.9341]],
  "species": ["Ga", "Ga", "Ga", "Ga", "Ga", "Ga", "Ga", "Ga", "Ga", "Ga", "Ga", "Ga", "Ga", "Ga", "Pt", "Pt", "Pt", "Pt", "Pt", "Pt"],
  "frac_coords": [[0.7500, 0.2500, 0.5000], [0.7500, 0.5000, 0.2500], [0.5000, 0.2500, 0.7500], [0.2500, 0.5000, 0.7500], [0.2500, 0.7500, 0.5000], [0.5000, 0.7500, 0.2500], [0.0000, 0.0000, 0.3285], [0.0000, 0.3285, 0.0000], [0.3285, 0.0000, 0.0000], [0.6715, 0.6715, 0.6715], [0.0000, 0.0000, 0.6715], [0.0000, 0.6715, 0.0000], [0.6715, 0.0000, 0.0000], [0.3285, 0.3285, 0.3285], [0.6595, 0.6595, 0.0000], [0.3405, 0.0000, 0.3405], [0.0000, 0.3405, 0.3405], [0.3405, 0.3405, 0.0000], [0.6595, 0.0000, 0.6595], [0.0000, 0.6595, 0.6595]]
}

=====

[5]
{
  "formula": "CaZn3",
  "functional": "GGA-PBE",
  "state": "relaxed",
  "delta_e_f_kcal_per_mol_atoms": -3.02,
  "dft_energy_ev_per_cell": -6.35,
  "sg": "Pmmm",
  "cell": [[4.5091, 0.0000, 0.0000], [0.0000, 3.5861, -0.4150], [0.0000, 0.6110, 5.2332]],
  "species": ["Zn", "Zn", "Zn", "Ca"],
  "frac_coords": [[0.5000, 0.5001, 0.7458], [0.0000, 0.5000, 0.5000], [0.5000, 0.4999, 0.2542], [0.0000, 0.0000, 0.0000]]
}

=====

[6]
{
  "formula": "TiHgCl2",
  "functional": "GGA-PBE",
  "state": "relaxed",
  "dft_energy_ev_per_cell": -16.00,
  "polymorph_energy_mev_per_atom": 5,
  "sg": "R-3m",
  "raw_formation_energy_ev_per_atom": -1.03,
  "cell": [[1.8983, 0.0000, 10.4416], [-0.9492, 1.6440, 10.4416], [-0.9492, -1.6440, 10.4416]],
  "species": ["Cl", "Cl", "Hg", "Ti"],
  "frac_coords": [[0.8842, 0.8842, 0.8842], [0.1158, 0.1158, 0.1158], [0.0000, 0.0000, 0.0000], [0.5000, 0.5000, 0.5000]]
}

=====

[7]
{
  "formula": "Li2ZnRu",
  "functional": "GGA-PBE",
  "state": "relaxed",
  "delta_e_f_kcal_per_mol_atoms": 0.65,
  "dft_energy_ev_per_cell": -14.26,
  "sg": "Cmmm",
  "cell": [[-2.1128, 0.5054, 1.4199], [2.1291, -0.4524, 1.4134], [2.0131, 8.9173, -0.1784]],
  "species": ["Li", "Li", "Ru", "Zn"],
  "frac_coords": [[0.0000, 0.0000, 0.0109], [0.0000, 0.0000, 0.4891], [0.5000, 0.5000, 0.2500], [0.5000, 0.5000, 0.7500]]
}

=====

[8]
{
  "formula": "BaBe2InNi",
  "functional": "GGA-PBE",
  "state": "relaxed",
  "delta_e_f_kcal_per_mol_atoms": 12.87,
  "dft_energy_ev_per_cell": -15.10,
  "sg": "P4/mmm",
  "cell": [[4.5859, 0.0000, 0.0000], [0.0000, 5.4375, 0.0000], [0.0000, 0.0000, 4.5859]],
  "species": ["Ni", "Be", "Be", "Ba", "In"],
  "frac_coords": [[0.0000, 0.0000, 0.0000], [0.0000, 0.0000, 0.5000], [0.5000, 0.0000, 0.0000], [0.0000, 0.5000, 0.0000], [0.5000, 0.5000, 0.5000]]
}